The following is a DFT calculation (PBE+U) of a geometry-optimized VCdPO2 structure.

For the relative energy among the computed polymorphs, the calculation gives 1415 meV per atom. Its total moment is 1.432 μB/f.u.

The structure belongs to space group P4/mmm (No. 123); the cell edges are 4.122, 4.122 and 5.035 Å and the angles 90.00°, 90.00° and 90.00°. The asymmetric unit holds V at (0.000, 0.000, 0.000), Cd at (0.500, 0.500, 0.500), P at (0.500, 0.500, 0.000) and O at (0.000, 0.500, 0.500).